Run one
DFT (PBE) results for a relaxed structure of PrCdHg3.

Unit cell a=8.485 b=6.248 c=6.722 alpha=117.69 beta=115.07 gamma=90.00
Sites, in units of the cell vectors:
1 Pr 0.297 0.336 0.672
2 Pr 0.703 0.664 0.328
3 Cd 0.000 0.000 0.000
4 Cd 0.500 0.000 0.000
5 Hg 0.675 0.621 0.777
6 Hg 0.675 0.156 0.777
7 Hg 0.126 0.756 0.513
8 Hg 0.874 0.244 0.487
9 Hg 0.325 0.844 0.223
10 Hg 0.325 0.379 0.223

Computed properties:
V, Å³/atom: 27.7
Size of the total moment, μB/f.u.: 0.0

***

Run two
DFT (PBE) results for a relaxed structure of PrCdHg3.

Unit cell a=5.151 b=5.196 c=9.734 alpha=90.00 beta=74.70 gamma=90.00
Sites, in units of the cell vectors:
1 Pr 0.357 0.345 0.006
2 Pr 0.055 0.844 0.608
3 Cd 0.858 0.844 0.006
4 Cd 0.553 0.344 0.609
5 Hg 0.161 0.344 0.398
6 Hg 0.955 0.344 0.806
7 Hg 0.655 0.844 0.405
8 Hg 0.757 0.344 0.210
9 Hg 0.251 0.844 0.216
10 Hg 0.456 0.845 0.809

Computed properties:
V, Å³/atom: 25.1
Size of the total moment, μB/f.u.: 0.0

***

Least stable structure: run one

***

Run one
DFT (PBE) results for a relaxed structure of Pr3CdHg4.

Unit cell a=5.266 b=5.266 c=9.658 alpha=74.18 beta=74.18 gamma=60.00
Sites, in units of the cell vectors:
1 Pr 0.260 0.260 0.219
2 Pr 0.740 0.740 0.781
3 Pr 0.500 0.500 0.500
4 Hg 0.872 0.872 0.384
5 Hg 0.377 0.377 0.869
6 Hg 0.128 0.128 0.616
7 Hg 0.623 0.623 0.131
8 Cd 0.000 0.000 0.000

Computed properties:
V, Å³/atom: 27.5
Size of the total moment, μB/f.u.: 0.0

***

Run two
DFT (PBE) results for a relaxed structure of Pr3CdHg4.

Unit cell a=3.839 b=7.285 c=9.457 alpha=112.65 beta=101.71 gamma=90.00
Sites, in units of the cell vectors:
1 Pr 0.212 0.212 0.425
2 Pr 0.788 0.788 0.575
3 Pr 0.000 0.500 0.000
4 Cd 0.500 0.000 0.000
5 Hg 0.375 0.589 0.749
6 Hg 0.625 0.411 0.251
7 Hg 0.625 0.840 0.251
8 Hg 0.375 0.160 0.749

Computed properties:
V, Å³/atom: 29.8
Size of the total moment, μB/f.u.: 0.0

***

Least stable structure: run two

***

Run one
DFT (PBE) results for a relaxed structure of Pr6CdHg5.

Unit cell a=5.459 b=7.752 c=8.653 alpha=90.00 beta=108.58 gamma=90.00
Last column: magnetic moment on the atom in μB.
Sites, in units of the cell vectors:
1 Pr 0.833 0.750 0.664  0.22
2 Pr 0.833 0.250 0.664  0.22
3 Pr 0.500 0.252 0.000  0.20
4 Pr 0.500 0.748 0.000  0.20
5 Pr 0.167 0.750 0.336  0.22
6 Pr 0.167 0.250 0.336  0.22
7 Hg 0.664 0.500 0.332  0.02
8 Hg 0.338 0.000 0.673  0.02
9 Hg 0.000 0.500 0.000  0.02
10 Hg 0.662 0.000 0.327  0.02
11 Hg 0.336 0.500 0.668  0.02
12 Cd 0.000 0.000 0.000  0.01

Computed properties:
V, Å³/atom: 28.9
Size of the total moment, μB/f.u.: 2.8

***

Run two
DFT (PBE) results for a relaxed structure of Pr6CdHg5.

Unit cell a=9.413 b=7.129 c=6.736 alpha=58.05 beta=83.86 gamma=78.34
Sites, in units of the cell vectors:
1 Pr 0.730 0.096 0.347
2 Pr 0.270 0.557 0.347
3 Pr 0.217 0.291 0.000
4 Pr 0.783 0.709 0.000
5 Pr 0.730 0.443 0.653
6 Pr 0.270 0.904 0.653
7 Cd 0.000 0.000 0.000
8 Hg 0.500 0.131 0.739
9 Hg 0.000 0.289 0.422
10 Hg 0.500 0.500 0.000
11 Hg 0.000 0.711 0.578
12 Hg 0.500 0.869 0.261

Computed properties:
V, Å³/atom: 31.3
Size of the total moment, μB/f.u.: 0.0

***

Least stable structure: run two

***

Run one
DFT (PBE) results for a relaxed structure of PrCd7Hg12.

Unit cell a=8.834 b=8.725 c=8.725 alpha=70.78 beta=70.28 gamma=109.72
Sites, in units of the cell vectors:
1 Pr 0.000 0.000 0.000
2 Cd 0.044 0.355 0.094
3 Cd 0.862 0.906 0.449
4 Cd 0.311 0.449 0.645
5 Cd 0.500 0.000 0.000
6 Cd 0.689 0.551 0.355
7 Cd 0.138 0.094 0.551
8 Cd 0.956 0.645 0.906
9 Hg 0.592 0.258 0.235
10 Hg 0.173 0.765 0.493
11 Hg 0.293 0.195 0.118
12 Hg 0.589 0.882 0.313
13 Hg 0.665 0.493 0.742
14 Hg 0.902 0.313 0.805
15 Hg 0.098 0.687 0.195
16 Hg 0.335 0.507 0.258
17 Hg 0.411 0.118 0.687
18 Hg 0.707 0.805 0.882
19 Hg 0.827 0.235 0.507
20 Hg 0.408 0.742 0.765

Computed properties:
V, Å³/atom: 25.8
Size of the total moment, μB/f.u.: 0.0

***

Run two
DFT (PBE) results for a relaxed structure of PrCd7Hg12.

Unit cell a=9.419 b=9.419 c=9.419 alpha=109.47 beta=109.47 gamma=109.47
Sites, in units of the cell vectors:
1 Pr 0.000 0.000 0.000
2 Cd 0.500 0.000 0.500
3 Cd 0.500 0.500 0.000
4 Cd 0.000 0.500 0.500
5 Cd 0.000 0.000 0.500
6 Cd 0.500 0.000 0.000
7 Cd 0.500 0.500 0.500
8 Cd 0.000 0.500 0.000
9 Hg 0.274 0.151 0.425
10 Hg 0.274 0.849 0.123
11 Hg 0.726 0.849 0.575
12 Hg 0.726 0.151 0.877
13 Hg 0.425 0.274 0.151
14 Hg 0.877 0.726 0.151
15 Hg 0.575 0.726 0.849
16 Hg 0.123 0.274 0.849
17 Hg 0.849 0.123 0.274
18 Hg 0.151 0.877 0.726
19 Hg 0.151 0.425 0.274
20 Hg 0.849 0.575 0.726

Computed properties:
V, Å³/atom: 32.2
Size of the total moment, μB/f.u.: 0.0

***

Least stable structure: run two

***

Run one
DFT (PBE) results for a relaxed structure of Pr4Cd2Hg.

Unit cell a=5.376 b=6.642 c=6.642 alpha=108.93 beta=90.00 gamma=90.00
Last column: magnetic moment on the atom in μB.
Sites, in units of the cell vectors:
1 Pr 0.000 0.756 0.756  0.16
2 Pr 0.000 0.244 0.244  0.16
3 Pr 0.500 0.000 0.500  0.15
4 Pr 0.500 0.500 0.000  0.15
5 Hg 0.500 0.500 0.500  0.01
6 Cd 0.000 0.746 0.254  0.01
7 Cd 0.000 0.254 0.746  0.01

Computed properties:
V, Å³/atom: 32.0
Size of the total moment, μB/f.u.: 1.3

***

Run two
DFT (PBE) results for a relaxed structure of Pr4Cd2Hg.

Unit cell a=3.723 b=8.146 c=8.356 alpha=115.50 beta=102.87 gamma=90.00
Sites, in units of the cell vectors:
1 Pr 0.910 0.280 0.820
2 Pr 0.090 0.720 0.180
3 Pr 0.628 0.360 0.256
4 Pr 0.372 0.640 0.744
5 Cd 0.772 0.844 0.543
6 Cd 0.228 0.156 0.457
7 Hg 0.000 0.000 0.000

Computed properties:
V, Å³/atom: 31.7
Size of the total moment, μB/f.u.: 0.0

***

Least stable structure: run two

***

Run one
DFT (PBE) results for a relaxed structure of PrCd2Hg8.

Unit cell a=4.937 b=6.943 c=8.617 alpha=102.53 beta=106.65 gamma=90.00
Sites, in units of the cell vectors:
1 Pr 0.500 0.000 0.000
2 Hg 0.589 0.479 0.179
3 Hg 0.306 0.091 0.613
4 Hg 0.128 0.224 0.256
5 Hg 0.066 0.750 0.132
6 Hg 0.872 0.776 0.744
7 Hg 0.694 0.909 0.387
8 Hg 0.411 0.521 0.821
9 Hg 0.934 0.250 0.868
10 Cd 0.244 0.643 0.488
11 Cd 0.756 0.357 0.512

Computed properties:
V, Å³/atom: 25.1
Size of the total moment, μB/f.u.: 0.0

***

Run two
DFT (PBE) results for a relaxed structure of PrCd2Hg8.

Unit cell a=4.592 b=9.750 c=8.190 alpha=53.47 beta=89.89 gamma=89.81
Sites, in units of the cell vectors:
1 Pr 0.500 0.000 0.000
2 Cd 0.000 0.386 0.229
3 Cd 0.000 0.614 0.771
4 Hg 0.998 0.040 0.279
5 Hg 0.998 0.318 0.721
6 Hg 0.499 0.328 0.000
7 Hg 0.500 0.755 0.490
8 Hg 0.500 0.245 0.510
9 Hg 0.501 0.672 0.000
10 Hg 0.002 0.682 0.279
11 Hg 0.002 0.960 0.721

Computed properties:
V, Å³/atom: 26.8
Size of the total moment, μB/f.u.: 0.0

***

Least stable structure: run two

***

Run one
DFT (PBE) results for a relaxed structure of PrCd2Hg3.

Unit cell a=5.049 b=5.049 c=13.605 alpha=90.00 beta=90.00 gamma=120.00
Sites, in units of the cell vectors:
1 Pr 0.000 0.000 0.250
2 Pr 0.000 0.000 0.750
3 Cd 0.667 0.333 0.385
4 Cd 0.333 0.667 0.615
5 Cd 0.333 0.667 0.885
6 Cd 0.667 0.333 0.115
7 Hg 0.000 0.000 0.500
8 Hg 0.000 0.000 0.000
9 Hg 0.667 0.333 0.630
10 Hg 0.333 0.667 0.130
11 Hg 0.667 0.333 0.870
12 Hg 0.333 0.667 0.370

Computed properties:
V, Å³/atom: 25.0
Size of the total moment, μB/f.u.: 0.0

***

Run two
DFT (PBE) results for a relaxed structure of PrCd2Hg3.

Unit cell a=4.531 b=4.834 c=13.934 alpha=90.00 beta=90.00 gamma=90.00
Sites, in units of the cell vectors:
1 Pr 0.000 0.500 0.500
2 Pr 0.000 0.000 0.000
3 Cd 0.000 0.000 0.674
4 Cd 0.000 0.000 0.326
5 Cd 0.000 0.500 0.174
6 Cd 0.000 0.500 0.826
7 Hg 0.500 0.500 0.667
8 Hg 0.500 0.000 0.500
9 Hg 0.500 0.500 0.333
10 Hg 0.500 0.000 0.167
11 Hg 0.500 0.500 0.000
12 Hg 0.500 0.000 0.833

Computed properties:
V, Å³/atom: 25.4
Size of the total moment, μB/f.u.: 0.0

***

Least stable structure: run two

***

Run one
DFT (PBE) results for a relaxed structure of TbPrCdHg.

Unit cell a=5.390 b=5.390 c=5.390 alpha=60.00 beta=60.00 gamma=60.00
Last column: magnetic moment on the atom in μB.
Sites, in units of the cell vectors:
1 Pr 0.000 0.000 0.000  0.20
2 Tb 0.500 0.500 0.500  0.27
3 Hg 0.250 0.250 0.250  0.02
4 Cd 0.750 0.750 0.750  0.01

Computed properties:
V, Å³/atom: 27.7
Size of the total moment, μB/f.u.: 0.9

***

Run two
DFT (PBE) results for a relaxed structure of TbPrCdHg.

Unit cell a=3.778 b=3.778 c=7.749 alpha=90.00 beta=90.00 gamma=90.00
Last column: magnetic moment on the atom in μB.
Sites, in units of the cell vectors:
1 Tb 0.500 0.500 0.603  0.12
2 Pr 0.500 0.500 0.108  0.23
3 Cd 0.000 0.000 0.840  0.01
4 Hg 0.000 0.000 0.378  0.01

Computed properties:
V, Å³/atom: 27.7
Size of the total moment, μB/f.u.: 0.7

***

Least stable structure: run one

***

Run one
DFT (PBE) results for a relaxed structure of PrYCdHg.

Unit cell a=3.764 b=3.764 c=7.788 alpha=90.00 beta=90.00 gamma=90.00
Last column: magnetic moment on the atom in μB.
Sites, in units of the cell vectors:
1 Pr 0.500 0.500 0.108  0.22
2 Y 0.500 0.500 0.603  0.07
3 Cd 0.000 0.000 0.839  0.01
4 Hg 0.000 0.000 0.378  0.01

Computed properties:
V, Å³/atom: 27.6
Size of the total moment, μB/f.u.: 0.6

***

Run two
DFT (PBE) results for a relaxed structure of PrYCdHg.

Unit cell a=5.386 b=5.386 c=5.386 alpha=60.00 beta=60.00 gamma=60.00
Last column: magnetic moment on the atom in μB.
Sites, in units of the cell vectors:
1 Pr 0.250 0.250 0.250  0.17
2 Y 0.750 0.750 0.750  0.19
3 Hg 0.500 0.500 0.500  0.02
4 Cd 0.000 0.000 0.000  0.01

Computed properties:
V, Å³/atom: 27.6
Size of the total moment, μB/f.u.: 0.8

***

Least stable structure: run two

***

Run one
DFT (PBE) results for a relaxed structure of CdHgPt.

Unit cell a=5.356 b=5.356 c=5.356 alpha=147.57 beta=135.50 gamma=56.13
Sites, in units of the cell vectors:
1 Hg 0.672 0.672 0.000
2 Pt 0.339 0.339 0.000
3 Cd 0.989 0.989 0.000

Computed properties:
V, Å³/atom: 19.1
Size of the total moment, μB/f.u.: 0.0

***

Run two
DFT (PBE) results for a relaxed structure of CdHgPt.

Unit cell a=4.582 b=4.582 c=4.582 alpha=60.00 beta=60.00 gamma=60.00
Sites, in units of the cell vectors:
1 Hg 0.500 0.500 0.500
2 Pt 0.750 0.750 0.750
3 Cd 0.000 0.000 0.000

Computed properties:
V, Å³/atom: 22.7
Size of the total moment, μB/f.u.: 0.0

***

Least stable structure: run one

***

Run one
DFT (PBE) results for a relaxed structure of CdHgPt.

Unit cell a=5.467 b=5.634 c=9.796 alpha=82.22 beta=73.80 gamma=60.98
Sites, in units of the cell vectors:
1 Cd 0.160 0.500 0.680
2 Cd 0.340 0.500 0.320
3 Cd 0.590 0.000 0.820
4 Cd 0.410 0.000 0.180
5 Pt 0.621 0.500 0.757
6 Pt 0.879 0.500 0.243
7 Pt 0.129 0.000 0.743
8 Pt 0.871 0.000 0.257
9 Hg 0.910 0.180 0.500
10 Hg 0.590 0.820 0.500
11 Hg 0.840 0.320 0.000
12 Hg 0.160 0.680 0.000

Computed properties:
V, Å³/atom: 21.1
Size of the total moment, μB/f.u.: 0.0

***

Run two
DFT (PBE) results for a relaxed structure of CdHgPt.

Unit cell a=2.965 b=4.774 c=4.817 alpha=90.00 beta=90.00 gamma=90.00
Sites, in units of the cell vectors:
1 Cd 0.000 0.500 0.500
2 Hg 0.000 0.000 0.000
3 Pt 0.500 0.000 0.500

Computed properties:
V, Å³/atom: 22.7
Size of the total moment, μB/f.u.: 0.0

***

Run three
DFT (PBE) results for a relaxed structure of CdHgPt.

Unit cell a=4.712 b=4.712 c=3.006 alpha=90.00 beta=90.00 gamma=120.00
Sites, in units of the cell vectors:
1 Hg 0.667 0.333 0.395
2 Pt 0.333 0.667 0.606
3 Cd 0.000 0.000 0.999

Computed properties:
V, Å³/atom: 19.3
Size of the total moment, μB/f.u.: 0.0

***

Run four
DFT (PBE) results for a relaxed structure of CdHgPt.

Unit cell a=6.530 b=6.529 c=3.079 alpha=76.38 beta=76.34 gamma=27.27
Sites, in units of the cell vectors:
1 Hg 0.324 0.324 0.676
2 Pt 0.663 0.663 0.337
3 Cd 0.014 0.014 0.986

Computed properties:
V, Å³/atom: 19.4
Size of the total moment, μB/f.u.: 0.0

***

Least stable structure: run three